! Sr4Hg2Ge, optimized geometry, DFT GGA-PBE; values from VASP
&SYSTEM
  ibrav = 0, nat = 7, ntyp = 3
/
ATOMIC_SPECIES
Sr 87.62 Sr.upf
Hg 200.59 Hg.upf
Ge 72.64 Ge.upf
ATOMIC_POSITIONS angstrom
Sr 0.000 0.000 3.344
Sr 0.000 0.000 10.304
Sr 0.000 0.000 17.493
Sr 0.000 0.000 24.453
Hg 0.000 0.000 6.842
Hg 0.000 0.000 20.955
Ge 0.000 0.000 0.000
CELL_PARAMETERS angstrom
2.790 1.611 9.266
-2.790 1.611 9.266
0.000 -3.221 9.266
! formation enthalpy at 0 K: -3.0 eV/f.u.



! Nb2CrRe, optimized geometry, DFT GGA-PBE; values from VASP
&SYSTEM
  ibrav = 0, nat = 4, ntyp = 3
/
ATOMIC_SPECIES
Nb 92.91 Nb.upf
Cr 52.00 Cr.upf
Re 186.21 Re.upf
ATOMIC_POSITIONS angstrom
Nb 0.000 0.000 1.539
Nb 0.000 0.000 4.784
Cr 1.580 1.580 0.000
Re 1.580 1.580 3.161
CELL_PARAMETERS angstrom
3.160 0.000 0.000
0.000 3.160 0.000
0.000 0.000 6.323
! formation enthalpy at 0 K: -0.6 eV/f.u.



! CaPr2Tl2, optimized geometry, DFT GGA-PBE; values from VASP
&SYSTEM
  ibrav = 0, nat = 5, ntyp = 3
/
ATOMIC_SPECIES
Ca 40.08 Ca.upf
Pr 140.91 Pr.upf
Tl 204.38 Tl.upf
ATOMIC_POSITIONS angstrom
Ca 0.000 0.000 0.000
Pr 0.000 3.185 4.555
Pr 2.758 1.592 2.030
Tl 0.000 3.185 1.246
Tl 2.758 1.592 5.339
CELL_PARAMETERS angstrom
5.517 0.000 0.000
-2.758 4.777 0.000
0.000 0.000 6.585
! formation enthalpy at 0 K: -1.1 eV/f.u.



! Sm2TlCo, optimized geometry, DFT GGA-PBE; values from VASP
&SYSTEM
  ibrav = 0, nat = 16, ntyp = 3
/
ATOMIC_SPECIES
Sm 150.36 Sm.upf
Tl 204.38 Tl.upf
Co 58.93 Co.upf
ATOMIC_POSITIONS angstrom
Sm 0.397 0.000 2.241
Sm 2.826 0.000 5.291
Sm 3.657 1.880 2.346
Sm 6.087 1.880 5.397
Sm 7.407 1.880 2.241
Sm 9.837 1.880 5.291
Sm 10.668 0.000 2.346
Sm 13.097 0.000 5.397
Tl 1.083 1.880 7.352
Tl 5.401 0.000 0.285
Tl 8.093 0.000 7.352
Tl 12.411 1.880 0.285
Co 1.056 1.880 4.360
Co 5.427 0.000 3.277
Co 8.067 0.000 4.360
Co 12.438 1.880 3.277
CELL_PARAMETERS angstrom
14.021 0.000 0.000
0.000 3.761 0.000
-0.527 0.000 7.638
! formation enthalpy at 0 K: -1.0 eV/f.u.



! K2CuTc, optimized geometry, DFT GGA-PBE; values from VASP
&SYSTEM
  ibrav = 0, nat = 8, ntyp = 3
/
ATOMIC_SPECIES
K 39.10 K.upf
Cu 63.55 Cu.upf
Tc 98.00 Tc.upf
ATOMIC_POSITIONS angstrom
K 0.000 0.000 0.000
K 1.743 0.000 5.544
K 4.387 1.409 0.000
K 6.130 1.409 5.544
Cu 1.968 1.409 2.414
Cu 6.355 0.000 2.414
Tc 3.975 0.000 3.088
Tc 8.361 1.409 3.088
CELL_PARAMETERS angstrom
8.773 0.000 0.000
0.000 2.817 0.000
-0.452 0.000 9.874
! formation enthalpy at 0 K: 3.6 eV/f.u.



! MgGeI, optimized geometry, DFT GGA-PBE; values from VASP
&SYSTEM
  ibrav = 0, nat = 12, ntyp = 3
/
ATOMIC_SPECIES
Mg 24.30 Mg.upf
Ge 72.64 Ge.upf
I 126.90 I.upf
ATOMIC_POSITIONS angstrom
Mg 1.619 0.000 0.000
Mg 1.619 1.960 3.384
Mg 10.688 0.000 0.000
Mg 10.688 1.960 3.384
Ge 0.000 0.000 4.514
Ge 0.000 1.960 1.130
Ge 6.154 0.000 5.558
Ge 6.154 1.960 2.174
I 3.697 0.000 2.136
I 3.697 1.960 5.519
I 8.610 0.000 2.136
I 8.610 1.960 5.519
CELL_PARAMETERS angstrom
12.307 0.000 0.000
0.000 3.921 0.000
0.000 0.000 6.768
! energy relative to the elements, uncorrected: -0.093 eV per atom



! Sr3YTi, optimized geometry, DFT GGA-PBE; values from VASP
&SYSTEM
  ibrav = 0, nat = 5, ntyp = 3
/
ATOMIC_SPECIES
Sr 87.62 Sr.upf
Y 88.91 Y.upf
Ti 47.87 Ti.upf
ATOMIC_POSITIONS angstrom
Sr 0.000 0.000 2.981
Sr 0.000 2.981 0.000
Sr 2.981 0.000 0.000
Y 2.981 2.981 2.981
Ti 0.000 0.000 0.000
CELL_PARAMETERS angstrom
5.963 0.000 0.000
0.000 5.963 0.000
0.000 0.000 5.963
! formation enthalpy at 0 K: 4.2 eV/f.u.



! CdMo2Os, optimized geometry, DFT GGA-PBE; values from VASP
&SYSTEM
  ibrav = 0, nat = 8, ntyp = 3
/
ATOMIC_SPECIES
Cd 112.41 Cd.upf
Mo 95.94 Mo.upf
Os 190.23 Os.upf
ATOMIC_POSITIONS angstrom
Cd 0.000 0.000 0.000
Cd 2.001 2.001 4.057
Mo 0.000 0.000 4.057
Mo 0.000 2.001 6.086
Mo 2.001 0.000 2.029
Mo 2.001 2.001 0.000
Os 0.000 2.001 2.029
Os 2.001 0.000 6.086
CELL_PARAMETERS angstrom
4.002 0.000 0.000
0.000 4.002 0.000
0.000 0.000 8.115
! formation enthalpy at 0 K: 2.0 eV/f.u.



! CePmNd6Sm2, optimized geometry, DFT GGA-PBE; values from VASP
&SYSTEM
  ibrav = 0, nat = 10, ntyp = 4
/
ATOMIC_SPECIES
Ce 140.12 Ce.upf
Pm 145.00 Pm.upf
Nd 144.24 Nd.upf
Sm 150.36 Sm.upf
ATOMIC_POSITIONS angstrom
Ce 0.000 0.000 0.000
Pm 4.620 0.000 4.359
Nd 3.277 1.662 1.748
Nd 0.500 0.000 3.608
Nd 5.963 1.662 6.970
Nd 3.277 -1.662 1.748
Nd 8.740 0.000 5.110
Nd 5.963 -1.662 6.970
Sm 2.841 0.000 7.304
Sm 6.399 0.000 1.413
CELL_PARAMETERS angstrom
5.737 -3.500 0.000
5.737 3.500 0.000
-2.234 0.000 8.718
! formation enthalpy at 0 K: 2.3 eV/f.u.



! MgTePb, optimized geometry, DFT GGA-PBE; values from VASP
&SYSTEM
  ibrav = 0, nat = 6, ntyp = 3
/
ATOMIC_SPECIES
Mg 24.30 Mg.upf
Te 127.60 Te.upf
Pb 207.20 Pb.upf
ATOMIC_POSITIONS angstrom
Mg 0.000 0.000 0.000
Mg 1.937 1.937 6.087
Te 0.000 0.000 7.147
Te 1.937 1.937 1.060
Pb 0.000 0.000 4.038
Pb 1.937 1.937 10.125
CELL_PARAMETERS angstrom
3.875 0.000 0.000
0.000 3.875 0.000
0.000 0.000 12.174
! energy relative to the elements, uncorrected: -0.262 eV per atom



! Cr3B2Mo2, optimized geometry, DFT GGA-PBE; values from VASP
&SYSTEM
  ibrav = 0, nat = 14, ntyp = 3
/
ATOMIC_SPECIES
Cr 52.00 Cr.upf
B 10.81 B.upf
Mo 95.94 Mo.upf
ATOMIC_POSITIONS angstrom
Cr 0.000 0.000 0.000
Cr 0.920 1.518 4.970
Cr 2.682 0.000 0.816
Cr 4.361 1.518 0.000
Cr 5.282 0.000 4.970
Cr 7.043 1.518 0.816
B 0.139 0.000 3.661
B 3.463 1.518 2.124
B 4.500 1.518 3.661
B 7.824 0.000 2.124
Mo 0.885 1.518 2.079
Mo 2.717 0.000 3.706
Mo 5.247 0.000 2.079
Mo 7.078 1.518 3.706
CELL_PARAMETERS angstrom
8.722 0.000 0.000
0.000 3.037 0.000
-0.759 0.000 5.785
! formation enthalpy at 0 K: -2.2 eV/f.u.



! K2Rb4Na, optimized geometry, DFT GGA-PBE; values from VASP
&SYSTEM
  ibrav = 0, nat = 7, ntyp = 3
/
ATOMIC_SPECIES
K 39.10 K.upf
Rb 85.47 Rb.upf
Na 22.99 Na.upf
ATOMIC_POSITIONS angstrom
K 0.000 0.000 15.093
K 0.000 0.000 64.324
Rb 0.000 0.000 7.422
Rb 0.000 0.000 29.701
Rb 0.000 0.000 49.716
Rb 0.000 0.000 71.995
Na 0.000 0.000 0.000
CELL_PARAMETERS angstrom
2.436 1.407 26.472
-2.436 1.407 26.472
0.000 -2.813 26.472
! formation enthalpy at 0 K: 0.2 eV/f.u.



Number 1: size of the total moment 0.00 μB/f.u.. Number 2: size of the total moment 0.00 μB/f.u.. Number 3: size of the total moment 0.00 μB/f.u.. Number 4: size of the total moment 0.00 μB/f.u.. Number 5: size of the total moment 1.42 μB/f.u.. Number 6: size of the total moment 0.00 μB/f.u.. Number 7: size of the total moment 0.00 μB/f.u.. Number 8: size of the total moment 0.00 μB/f.u.. Number 9: size of the total moment 1.02 μB/f.u.. Number 10: size of the total moment 0.00 μB/f.u.. Number 11: size of the total moment 0.00 μB/f.u.. Number 12: size of the total moment 0.00 μB/f.u..